The following is a PBE-GGA calculation of an optimized crystal structure of PuSiTc, from Alexandria via LeMat-Bulk.

abc: 3.6332 4.2518 4.2518
angles: 120.00 90.00 90.00
Each line ends with the local moment (μB).
Fractional positions:
Si  0.1666  0.0000  0.0000  0.00
Tc  0.1667  0.3333  0.6667  -0.37
Pu  0.6666  0.6667  0.3333  4.88

Values from the calculation:
Size of the total moment   4.7 μB/cell
E_form (uncorrected)   -234 meV per atom

---

The following is a PBE-GGA calculation of an optimized crystal structure of Pu8Si2Tc, from Alexandria via LeMat-Bulk.

abc: 5.0850 6.2571 8.0771
angles: 118.19 108.35 90.00
Each line ends with the local moment (μB).
Fractional positions:
Pu  0.6636  0.4563  0.3271  -3.73
Pu  0.3862  0.2170  0.7723  4.20
Pu  0.1560  0.1744  0.3121  3.70
Pu  0.0027  0.7366  0.0053  -4.23
Pu  0.8440  0.8256  0.6879  3.70
Pu  0.6138  0.7830  0.2277  4.20
Pu  0.3364  0.5437  0.6729  -3.73
Pu  0.9973  0.2634  0.9947  -4.23
Si  0.1956  0.7289  0.3912  -0.03
Si  0.8044  0.2711  0.6088  -0.03
Tc  0.5000  0.0000  0.0000  -0.04

Values from the calculation:
Size of the total moment   0.0 μB/cell
E_form (uncorrected)   -116 meV per atom

---

Energy in eV per atom, matching the order above: -10.274; -12.468